Computed, not measured: a relaxed structure of ZnNi2O4 at the PBE with a Hubbard U level of DFT.

## Properties
* relative energy among the computed polymorphs: 0 meV per atom
* uncorrected energy: -4.72 eV/atom

Cell lengths 5.833, 5.833, 5.833 Å; angles 118.86, 118.86, 91.99 degrees
Last column: magnetic moment on the atom in μB.
Element x y z (fractional)
Zn (0.000, 0.000, 0.000)  -0.01
O (0.632, 0.838, 0.247)  -0.07
O (0.134, 0.882, 0.294)  -0.07
Ni (0.375, 0.625, 0.750)  1.17
Ni (0.375, 0.125, 0.750)  1.17
Ni (0.875, 0.625, 0.250)  1.17
O (0.162, 0.410, 0.794)  -0.07
Ni (0.375, 0.625, 0.250)  1.17
O (0.118, 0.412, 0.253)  -0.07
O (0.590, 0.384, 0.753)  -0.07
O (0.616, 0.368, 0.206)  -0.07
O (0.160, 0.866, 0.747)  -0.07
Zn (0.750, 0.250, 0.500)  -0.01
O (0.588, 0.840, 0.706)  -0.07